Record 1
Tc2OsSe | GGA-PBEsol | relaxed

Computed properties:
Raw total energy (eV per formula unit): -37.678
Density of states at the Fermi level (states/eV/atom): 0.785
Total magnetic moment (μB/atom): 0.00

a = 3.949 Å, b = 2.810 Å, c = 10.329 Å
α = 90.00°, β = 90.00°, γ = 90.00°
Space group Amm2 (No. 38)
Inequivalent atoms, fractional coordinates:
Tc  0.000  0.000  0.000 (multiplicity 2)
Tc  0.500  0.000  0.366 (multiplicity 2)
Os  0.000  0.000  0.744 (multiplicity 2)
Se  0.500  0.000  0.597 (multiplicity 2)



Record 2
BaCaRu2 | GGA-PBEsol | relaxed

Computed properties:
Density of states at the Fermi level (states/eV/atom): 1.026
ΔE_f (eV/atom): 0.432
Total magnetic moment (μB/atom): 0.00
Energy relative to the lowest polymorph listed for this composition (eV per atom): 0.000

a = 3.083 Å, b = 3.636 Å, c = 8.892 Å
α = 90.00°, β = 90.00°, γ = 90.00°
Space group Pmm2 (No. 25)
Inequivalent atoms, fractional coordinates:
Ba  0.000  0.000  0.000 (multiplicity 1)
Ca  0.500  0.500  0.409 (multiplicity 1)
Ru  0.000  0.000  0.637 (multiplicity 1)
Ru  0.500  0.500  0.734 (multiplicity 1)



Record 3
BRhCl3 | GGA-PBEsol | relaxed

Computed properties:
Raw total energy (eV per formula unit): -17.447
Density of states at the Fermi level (states/eV/atom): 0.808
Total magnetic moment (μB/atom): 0.39

a = 4.273 Å, b = 4.273 Å, c = 4.273 Å
α = 90.00°, β = 90.00°, γ = 90.00°
Space group Pm-3m (No. 221)
Inequivalent atoms, fractional coordinates:
B  0.000  0.000  0.000 (multiplicity 1)
Rh  0.500  0.500  0.500 (multiplicity 1)
Cl  0.000  0.000  0.500 (multiplicity 3)



Record 4
Tl3PSe4 | GGA-PBEsol | relaxed

Computed properties:
Raw total energy (eV per formula unit): -30.989
Total magnetic moment (μB/atom): 0.00

a = 12.117 Å, b = 10.208 Å, c = 8.124 Å
α = 90.00°, β = 90.00°, γ = 90.00°
Space group Pnma (No. 62)
Inequivalent atoms, fractional coordinates:
Tl  0.090  0.250  0.093 (multiplicity 4)
Tl  0.158  0.031  0.548 (multiplicity 8)
P  0.082  0.750  0.296 (multiplicity 4)
Se  0.018  0.750  0.555 (multiplicity 4)
Se  0.023  0.571  0.168 (multiplicity 8)
Se  0.236  0.250  0.797 (multiplicity 4)



Record 5
AgPb2 | GGA-PBEsol | relaxed

Computed properties:
Density of states at the Fermi level (states/eV/atom): 0.347
ΔE_f (eV/atom): 0.107
Total magnetic moment (μB/atom): 0.00

a = 4.178 Å, b = 14.439 Å, c = 4.981 Å
α = 90.00°, β = 90.00°, γ = 90.00°
Space group Cmcm (No. 63)
Inequivalent atoms, fractional coordinates:
Ag  0.000  0.068  0.250 (multiplicity 4)
Pb  0.000  0.271  0.750 (multiplicity 4)
Pb  0.000  0.421  0.250 (multiplicity 4)



Record 6
ZrGa3 | GGA-PBEsol | relaxed

Computed properties:
Density of states at the Fermi level (states/eV/atom): 0.238
ΔE_f (eV/atom): -0.557
Total magnetic moment (μB/atom): 0.00

a = 3.922 Å, b = 3.922 Å, c = 17.332 Å
α = 90.00°, β = 90.00°, γ = 90.00°
Space group I4/mmm (No. 139)
Inequivalent atoms, fractional coordinates:
Zr  0.000  0.000  0.119 (multiplicity 4)
Ga  0.000  0.000  0.376 (multiplicity 4)
Ga  0.000  0.500  0.000 (multiplicity 4)
Ga  0.000  0.500  0.250 (multiplicity 4)



Record 7
KSiMo2 | GGA-PBEsol | relaxed

Computed properties:
Raw total energy (eV per formula unit): -25.246
Density of states at the Fermi level (states/eV/atom): 0.930
Total magnetic moment (μB/atom): 0.00

a = 5.602 Å, b = 9.533 Å, c = 2.583 Å
α = 90.00°, β = 90.00°, γ = 90.00°
Space group Cmmm (No. 65)
Inequivalent atoms, fractional coordinates:
K  0.000  0.000  0.000 (multiplicity 2)
Si  0.000  0.500  0.000 (multiplicity 2)
Mo  0.250  0.250  0.500 (multiplicity 4)



Record 8
Rb2VF6 | GGA-PBEsol | relaxed

Computed properties:
Raw total energy (eV per formula unit): -49.827
Density of states at the Fermi level (states/eV/atom): 0.942
Total magnetic moment (μB/atom): 0.11

a = 8.488 Å, b = 8.488 Å, c = 8.488 Å
α = 90.00°, β = 90.00°, γ = 90.00°
Space group Fm-3m (No. 225)
Inequivalent atoms, fractional coordinates:
Rb  0.250  0.250  0.250 (multiplicity 8)
V  0.000  0.000  0.000 (multiplicity 4)
F  0.000  0.000  0.218 (multiplicity 24)



Record 9
CsIn2Ge2 | GGA-PBEsol | relaxed

Computed properties:
Density of states at the Fermi level (states/eV/atom): 0.373
ΔE_f (eV/atom): -0.077
Total magnetic moment (μB/atom): 0.00

a = 4.900 Å, b = 4.900 Å, c = 11.487 Å
α = 90.00°, β = 90.00°, γ = 90.00°
Space group I4/mmm (No. 139)
Inequivalent atoms, fractional coordinates:
Cs  0.000  0.000  0.000 (multiplicity 2)
In  0.000  0.000  0.372 (multiplicity 4)
Ge  0.000  0.500  0.250 (multiplicity 4)



Record 10
CuSnBi2Ir | GGA-PBEsol | relaxed

Computed properties:
Density of states at the Fermi level (states/eV/atom): 0.744
ΔE_f (eV/atom): 0.564
Total magnetic moment (μB/atom): 0.00

a = 5.239 Å, b = 5.239 Å, c = 4.751 Å
α = 90.00°, β = 90.00°, γ = 90.00°
Space group P4/mmm (No. 123)
Inequivalent atoms, fractional coordinates:
Cu  0.000  0.000  0.000 (multiplicity 1)
Sn  0.500  0.500  0.000 (multiplicity 1)
Bi  0.000  0.500  0.500 (multiplicity 2)
Ir  0.000  0.000  0.500 (multiplicity 1)



Record 11
Ho2TlAg | GGA-PBEsol | relaxed

Computed properties:
Density of states at the Fermi level (states/eV/atom): 0.630
ΔE_f (eV/atom): -0.379
Total magnetic moment (μB/atom): 0.00

a = 7.275 Å, b = 7.275 Å, c = 7.275 Å
α = 90.00°, β = 90.00°, γ = 90.00°
Space group Fm-3m (No. 225)
Inequivalent atoms, fractional coordinates:
Ho  0.250  0.250  0.250 (multiplicity 8)
Tl  0.000  0.000  0.000 (multiplicity 4)
Ag  0.000  0.000  0.500 (multiplicity 4)



Record 12
TlHgPb2 | GGA-PBEsol | relaxed

Computed properties:
Density of states at the Fermi level (states/eV/atom): 0.372
ΔE_f (eV/atom): 0.006
Total magnetic moment (μB/atom): 0.00

a = 4.810 Å, b = 4.810 Å, c = 9.444 Å
α = 90.00°, β = 90.00°, γ = 90.00°
Space group I4/mmm (No. 139)
Inequivalent atoms, fractional coordinates:
Tl  0.000  0.000  0.000 (multiplicity 2)
Hg  0.000  0.000  0.500 (multiplicity 2)
Pb  0.000  0.500  0.250 (multiplicity 4)